CePr2Tl | PBE-GGA | optimized geometry

The structure in POSCAR format:
```
CePr2Tl
1.0
-2.430 -2.943 2.931
-2.995 -1.345 -3.833
3.163 -3.760 -1.152
Pr Ce Tl
2 1 1
Cartesian
-1.497 -0.672 -1.917
1.582 -1.880 -0.576
-1.131 -4.024 -1.027
-1.215 -1.471 1.465
```

Calculated values
- Crystal system: tetragonal
- Excess energy over the best structure of this formula in the dataset: 0.0 meV/atom

---

CePrTl5 | PBE-GGA | optimized geometry

The structure in POSCAR format:
```
CePrTl5
1.0
5.339 0.000 0.000
0.000 5.339 0.000
0.000 0.000 7.729
Pr Tl Ce
1 5 1
Cartesian
0.000 0.000 3.865
2.669 0.000 1.820
0.000 2.669 5.909
0.000 2.669 1.820
2.669 0.000 5.909
2.669 2.669 3.865
2.669 2.669 0.000
```

Calculated values
- Crystal system: tetragonal

---

CePr2Tl9 | PBE-GGA | optimized geometry

The structure in POSCAR format:
```
CePr2Tl9
1.0
-1.257 2.689 3.833
-0.505 -4.023 2.657
13.963 0.869 3.971
Tl Pr Ce
9 2 1
Cartesian
11.026 2.069 5.231
6.353 1.779 3.902
8.437 -0.087 5.895
1.679 1.488 2.573
-0.881 -0.667 3.245
3.763 -0.378 4.566
11.402 -1.287 4.643
2.055 -1.868 1.985
6.729 -1.577 3.314
9.309 0.579 2.648
4.654 0.289 1.324
0.000 0.000 0.000
```

Calculated values
- Crystal system: tetragonal

---

CePrTl4 | PBE-GGA | optimized geometry

The structure in POSCAR format:
```
CePrTl4
1.0
-1.411 2.314 -4.546
-3.202 1.491 -1.328
0.026 12.525 3.286
Tl Pr Ce
4 1 1
Cartesian
-3.354 4.551 -2.804
-1.233 11.778 0.216
-2.434 11.252 -2.759
-2.152 5.078 0.172
-2.293 8.165 -1.294
0.000 0.000 0.000
```

Calculated values
- Crystal system: orthorhombic
- Excess energy over the best structure of this formula in the dataset: 0.0 meV/atom

---

Ce2PrTl9 | PBE-GGA | optimized geometry

The structure in POSCAR format:
```
Ce2PrTl9
1.0
4.837 0.000 0.000
0.000 4.837 0.000
0.000 0.000 14.511
Tl Pr Ce
9 1 2
Cartesian
2.419 0.000 7.256
2.419 2.419 9.659
0.000 2.419 2.438
2.419 2.419 4.852
2.419 0.000 2.438
0.000 2.419 12.073
0.000 2.419 7.256
2.419 2.419 0.000
2.419 0.000 12.073
0.000 0.000 0.000
0.000 0.000 9.675
0.000 0.000 4.836
```

Calculated values
- Crystal system: tetragonal

---

Ce2Pr5Tl4 | PBE-GGA | optimized geometry

The structure in POSCAR format:
```
Ce2Pr5Tl4
1.0
5.405 0.000 0.000
0.000 9.535 0.000
-2.703 -4.767 6.712
Tl Pr Ce
4 5 2
Cartesian
0.000 2.866 0.000
2.703 4.767 4.667
0.000 0.000 2.045
0.000 6.669 0.000
0.000 6.395 3.455
2.703 0.000 0.000
0.000 3.140 3.455
2.703 1.627 3.257
2.703 -1.627 3.257
0.000 0.000 5.371
2.703 4.767 1.341
```

Calculated values
- Crystal system: orthorhombic

---

no.,E_form (kcal/mol of atoms),mass density (g cm⁻³)
1,-3.58,8.49
2,-1.93,9.82
3,-6.93,10.99
4,-3.48,10.34
5,-6.24,11.05
6,-0.47,8.65